No. 1
{
  "formula": "LiPmPuIr",
  "functional": "PBE-GGA",
  "state": "relaxed",
  "lattice": [[4.978, 0.000, 0.000], [2.489, 4.311, 0.000], [2.489, 1.437, 4.064]],
  "species": ["Pu", "Pm", "Ir", "Li"],
  "frac_coords": [[0.750, 0.750, 0.750], [0.250, 0.250, 0.250], [0.500, 0.500, 0.500], [0.000, 0.000, 0.000]],
  "energy_ev_per_atom": -7.755,
  "magmom_total_mub_per_atom": 1.479
}

No. 2
{
  "formula": "LiPmSbIr",
  "functional": "PBE-GGA",
  "state": "relaxed",
  "lattice": [[4.783, 0.000, 0.000], [2.392, 4.142, 0.000], [2.392, 1.381, 3.906]],
  "species": ["Li", "Ir", "Sb", "Pm"],
  "frac_coords": [[0.000, 0.000, 0.000], [0.500, 0.500, 0.500], [0.250, 0.250, 0.250], [0.750, 0.750, 0.750]],
  "magmom_total_mub_per_atom": 0.000,
  "e_form_raw_mev_per_atom": -698
}

No. 3
{
  "formula": "LiPmScIr",
  "functional": "PBE-GGA",
  "state": "relaxed",
  "lattice": [[-2.911, -3.863, 0.358], [0.691, -3.238, 3.545], [-3.176, -0.313, 3.652]],
  "species": ["Pm", "Sc", "Li", "Ir"],
  "frac_coords": [[0.250, 0.250, 0.250], [0.750, 0.750, 0.750], [0.000, 0.000, 0.000], [0.500, 0.500, 0.500]],
  "energy_ev_per_atom": -5.962,
  "magmom_total_mub_per_atom": 0.000
}

No. 4
{
  "formula": "LiPmSiIr",
  "functional": "PBE-GGA",
  "state": "relaxed",
  "lattice": [[-1.085, -4.307, 1.260], [2.485, -2.152, 3.242], [-1.831, -0.795, 4.163]],
  "species": ["Ir", "Si", "Li", "Pm"],
  "frac_coords": [[0.500, 0.500, 0.500], [0.750, 0.750, 0.750], [0.000, 0.000, 0.000], [0.250, 0.250, 0.250]],
  "magmom_total_mub_per_atom": 0.000,
  "e_form_raw_mev_per_atom": -469,
  "de_polymorph_mev_per_atom": 0
}

No. 5
{
  "formula": "LiPm2Si3Ir4",
  "functional": "PBE-GGA",
  "state": "relaxed",
  "lattice": [[-1.490, -1.868, -3.359], [-3.038, -1.634, 2.256], [-5.777, 8.079, -1.929]],
  "species": ["Si", "Si", "Si", "Li", "Pm", "Pm", "Ir", "Ir", "Ir", "Ir"],
  "frac_coords": [[0.500, 0.000, 0.873], [0.000, 0.000, 0.500], [0.000, 0.500, 0.127], [0.500, 0.500, 0.500], [0.500, 0.000, 0.255], [0.000, 0.500, 0.745], [0.000, 0.500, 0.365], [0.500, 0.500, 0.000], [0.000, 0.000, 0.000], [0.500, 0.000, 0.635]],
  "magmom_total_mub_per_atom": 0.000,
  "e_form_raw_mev_per_atom": -932
}

No. 6
{
  "formula": "LiPm2Si4Ir3",
  "functional": "PBE-GGA",
  "state": "relaxed",
  "lattice": [[4.219, 0.000, 0.000], [0.000, 4.219, 0.000], [0.000, 0.000, 9.796]],
  "species": ["Si", "Si", "Si", "Si", "Pm", "Pm", "Li", "Ir", "Ir", "Ir"],
  "frac_coords": [[0.000, 0.500, 0.370], [0.500, 0.000, 0.630], [0.000, 0.000, 0.000], [0.500, 0.500, 0.000], [0.500, 0.000, 0.246], [0.000, 0.500, 0.754], [0.500, 0.500, 0.500], [0.500, 0.000, 0.875], [0.000, 0.500, 0.125], [0.000, 0.000, 0.500]],
  "magmom_total_mub_per_atom": 0.000,
  "e_form_raw_mev_per_atom": -901
}

No. 7
{
  "formula": "LiPmSiIr",
  "functional": "PBE-GGA",
  "state": "relaxed",
  "lattice": [[-3.120, -1.576, -2.249], [2.983, -1.543, -3.057], [0.321, -3.878, 2.271]],
  "species": ["Li", "Si", "Ir", "Pm"],
  "frac_coords": [[0.000, 0.000, 0.500], [0.000, 0.500, 0.000], [0.000, 0.000, 0.000], [0.500, 0.500, 0.500]],
  "magmom_total_mub_per_atom": 0.000,
  "e_form_raw_mev_per_atom": -105,
  "de_polymorph_mev_per_atom": 364
}

No. 8
{
  "formula": "LiPmSi2Ir",
  "functional": "PBE-GGA",
  "state": "relaxed",
  "lattice": [[-0.705, 0.556, 4.022], [-1.259, -3.911, 0.320], [5.709, 0.240, -1.144]],
  "species": ["Ir", "Si", "Si", "Li", "Pm"],
  "frac_coords": [[0.750, 0.250, 0.500], [0.621, 0.621, 0.242], [0.379, 0.379, 0.758], [0.250, 0.750, 0.500], [0.000, 0.000, 0.000]],
  "magmom_total_mub_per_atom": 0.000,
  "e_form_raw_mev_per_atom": -770
}

No. 9
{
  "formula": "LiPmSmIr",
  "functional": "PBE-GGA",
  "state": "relaxed",
  "lattice": [[-2.040, 0.880, 4.522], [-3.849, -2.820, 1.619], [0.689, -3.285, 3.757]],
  "species": ["Ir", "Sm", "Li", "Pm"],
  "frac_coords": [[0.500, 0.500, 0.500], [0.750, 0.750, 0.750], [0.000, 0.000, 0.000], [0.250, 0.250, 0.250]],
  "energy_ev_per_atom": -5.508,
  "magmom_total_mub_per_atom": 0.000
}

No. 10
{
  "formula": "LiPm2Sn2Ir",
  "functional": "PBE-GGA",
  "state": "relaxed",
  "lattice": [[6.448, 0.000, 0.000], [0.000, 6.357, 0.000], [-3.224, -3.178, 7.078]],
  "species": ["Li", "Li", "Ir", "Ir", "Pm", "Pm", "Pm", "Pm", "Sn", "Sn", "Sn", "Sn"],
  "frac_coords": [[0.500, 0.250, 0.000], [0.500, 0.750, 0.000], [0.000, 0.250, 0.000], [0.000, 0.750, 0.000], [0.381, 0.152, 0.304], [0.077, 0.348, 0.696], [0.619, 0.848, 0.696], [0.923, 0.652, 0.304], [0.851, 0.111, 0.222], [0.629, 0.389, 0.778], [0.371, 0.611, 0.222], [0.149, 0.889, 0.778]],
  "energy_ev_per_atom": -5.348,
  "magmom_total_mub_per_atom": 0.000
}

No. 11
{
  "formula": "LiPm2Sn4Ir3",
  "functional": "PBE-GGA",
  "state": "relaxed",
  "lattice": [[-2.894, 3.428, -0.386], [-3.217, -2.501, 1.915], [3.001, 3.636, 9.791]],
  "species": ["Ir", "Ir", "Ir", "Sn", "Sn", "Sn", "Sn", "Pm", "Pm", "Li"],
  "frac_coords": [[0.000, 0.500, 0.133], [0.500, 0.000, 0.867], [0.000, 0.000, 0.500], [0.500, 0.500, 0.000], [0.000, 0.000, 0.000], [0.000, 0.500, 0.371], [0.500, 0.000, 0.629], [0.500, 0.000, 0.245], [0.000, 0.500, 0.755], [0.500, 0.500, 0.500]],
  "energy_ev_per_atom": -5.958,
  "magmom_total_mub_per_atom": 0.000
}

No. 12
{
  "formula": "LiPmSnIr",
  "functional": "PBE-GGA",
  "state": "relaxed",
  "lattice": [[4.812, 0.000, 0.000], [2.406, 4.167, 0.000], [2.406, 1.389, 3.929]],
  "species": ["Pm", "Sn", "Li", "Ir"],
  "frac_coords": [[0.250, 0.250, 0.250], [0.750, 0.750, 0.750], [0.000, 0.000, 0.000], [0.500, 0.500, 0.500]],
  "energy_ev_per_atom": -5.474,
  "magmom_total_mub_per_atom": 0.000
}

No. 13
{
  "formula": "LiPmTlIr",
  "functional": "PBE-GGA",
  "state": "relaxed",
  "lattice": [[4.871, 0.000, 0.000], [2.435, 4.218, 0.000], [2.435, 1.406, 3.977]],
  "species": ["Tl", "Ir", "Pm", "Li"],
  "frac_coords": [[0.250, 0.250, 0.250], [0.500, 0.500, 0.500], [0.750, 0.750, 0.750], [0.000, 0.000, 0.000]],
  "energy_ev_per_atom": -4.775,
  "magmom_total_mub_per_atom": 0.000
}

No. 14
{
  "formula": "LiPmZnIr",
  "functional": "PBE-GGA",
  "state": "relaxed",
  "lattice": [[-0.889, 1.747, 4.288], [3.253, -0.322, 3.398], [2.251, 3.868, 1.483]],
  "species": ["Li", "Ir", "Zn", "Pm"],
  "frac_coords": [[0.750, 0.750, 0.750], [0.250, 0.250, 0.250], [0.000, 0.000, 0.000], [0.500, 0.500, 0.500]],
  "energy_ev_per_atom": -4.537,
  "magmom_total_mub_per_atom": 0.000
}

No. 15
{
  "formula": "Li2PrIr",
  "functional": "PBE-GGA",
  "state": "relaxed",
  "lattice": [[-0.847, -1.757, 4.189], [1.937, -4.001, 1.262], [3.331, -0.046, 3.203]],
  "species": ["Ir", "Li", "Li", "Pr"],
  "frac_coords": [[0.500, 0.500, 0.500], [0.250, 0.250, 0.250], [0.750, 0.750, 0.750], [0.000, 0.000, 0.000]],
  "magmom_total_mub_per_atom": 0.000,
  "de_polymorph_mev_per_atom": 0
}

No. 16
{
  "formula": "LiPr3Ir",
  "functional": "PBE-GGA",
  "state": "relaxed",
  "lattice": [[5.660, 0.000, 0.000], [0.000, 5.660, 0.000], [0.000, 0.000, 5.660]],
  "species": ["Pr", "Pr", "Pr", "Ir", "Li"],
  "frac_coords": [[0.000, 0.500, 0.000], [0.000, 0.000, 0.500], [0.500, 0.000, 0.000], [0.000, 0.000, 0.000], [0.500, 0.500, 0.500]],
  "energy_ev_per_atom": -5.162,
  "magmom_total_mub_per_atom": 0.000
}

No. 17
{
  "formula": "Li2PrIr",
  "functional": "PBE-GGA",
  "state": "relaxed",
  "lattice": [[2.944, 0.000, 0.000], [1.472, 2.550, 0.000], [1.472, 0.850, 10.582]],
  "species": ["Pr", "Li", "Li", "Ir"],
  "frac_coords": [[0.000, 0.000, 0.000], [0.103, 0.103, 0.690], [0.897, 0.897, 0.310], [0.500, 0.500, 0.500]],
  "magmom_total_mub_per_atom": 0.034,
  "de_polymorph_mev_per_atom": 429
}

No. 18
{
  "formula": "LiPr4Ir2",
  "functional": "PBE-GGA",
  "state": "relaxed",
  "lattice": [[8.426, -0.269, 0.251], [-0.876, 8.386, -0.251], [-3.359, -4.444, 6.339]],
  "species": ["Pr", "Pr", "Pr", "Pr", "Pr", "Pr", "Pr", "Pr", "Ir", "Ir", "Ir", "Ir", "Li", "Li"],
  "frac_coords": [[0.432, 0.630, 0.803], [0.827, 0.629, 0.197], [0.369, 0.587, 0.218], [0.818, 0.121, 0.697], [0.881, 0.599, 0.718], [0.369, 0.151, 0.782], [0.423, 0.121, 0.303], [0.881, 0.163, 0.282], [0.125, 0.375, 0.750], [0.625, 0.375, 0.750], [0.625, 0.875, 0.250], [0.625, 0.375, 0.250], [0.107, 0.606, 0.499], [0.143, 0.143, 0.000]],
  "energy_ev_per_atom": -5.810,
  "magmom_total_mub_per_atom": 0.000
}

No. 19
{
  "formula": "Li4PrIr",
  "functional": "PBE-GGA",
  "state": "relaxed",
  "lattice": [[5.220, 0.000, 0.000], [2.610, 4.521, 0.000], [2.610, 1.507, 4.262]],
  "species": ["Li", "Li", "Li", "Li", "Ir", "Pr"],
  "frac_coords": [[0.621, 0.138, 0.621], [0.621, 0.621, 0.621], [0.621, 0.621, 0.138], [0.138, 0.621, 0.621], [0.250, 0.250, 0.250], [0.000, 0.000, 0.000]],
  "energy_ev_per_atom": -3.559,
  "magmom_total_mub_per_atom": 0.000
}

No. 20
{
  "formula": "LiPrIr",
  "functional": "PBE-GGA",
  "state": "relaxed",
  "lattice": [[-1.581, -3.523, 0.561], [0.887, -1.051, -4.101], [7.787, -3.101, 2.478]],
  "species": ["Ir", "Ir", "Li", "Li", "Pr", "Pr"],
  "frac_coords": [[0.812, 0.716, 0.805], [0.812, 0.216, 0.988], [0.812, 0.216, 0.287], [0.812, 0.716, 0.505], [0.312, 0.216, 0.712], [0.312, 0.716, 0.081]],
  "magmom_total_mub_per_atom": 0.000,
  "de_polymorph_mev_per_atom": 91
}